Arrangement P

# AsPb2Cl

A relaxed AsPb2Cl crystal (PBE, the Alexandria database).

a = 8.0148 Å, b = 8.0148 Å, c = 8.0148 Å
α = 31.28°, β = 31.28°, γ = 31.28°
With the nearest neighbours (Å) after each atom.
Atoms (fractional coordinates):
As 0.0000 0.0000 0.0000  6 Pb 2.94-3.04
Pb 0.4090 0.4090 0.4090  3 As 3.04, 3 Cl 3.07
Pb 0.5989 0.5989 0.5989  3 As 2.94
Cl 0.8204 0.8204 0.8204  3 Pb 3.07

Summary:
Symmetry: R3m
Crystal system: trigonal
Fermi-level density of states, states/eV/cell: 0.1
ρ, g/cm³: 7.1
Calculated volume, Å³ per cell: 123.2

Arrangement Q

# AsPb2Cl

A relaxed AsPb2Cl crystal (PBE, the Alexandria database).

a = 7.6625 Å, b = 7.6625 Å, c = 7.6625 Å
α = 33.16°, β = 33.16°, γ = 33.16°
With the nearest neighbours (Å) after each atom.
Atoms (fractional coordinates):
As 0.0000 0.0000 0.0000  6 Pb 2.99
Pb 0.2598 0.2598 0.2598  3 As 2.99, 3 Cl 3.23
Pb 0.7402 0.7402 0.7402  3 As 2.99, 3 Cl 3.23
Cl 0.5000 0.5000 0.5000  6 Pb 3.23

Summary:
Symmetry: R-3m
Crystal system: trigonal
Fermi-level density of states, states/eV/cell: 0.2
ρ, g/cm³: 7.3
Calculated volume, Å³ per cell: 119.8

Q: Which of them is the least stable? A: arrangement P.

Arrangement P

# As3PbCl

A relaxed As3PbCl crystal (PBE, the Alexandria database).

a = 5.0080 Å, b = 5.0080 Å, c = 5.0080 Å
α = 90.00°, β = 90.00°, γ = 90.00°
With the nearest neighbours (Å) after each atom.
Atoms (fractional coordinates):
As 0.0000 0.0000 0.5000  2 Cl 2.50
As 0.0000 0.5000 0.0000  2 Cl 2.50
As 0.5000 0.0000 0.0000  2 Cl 2.50
Pb 0.5000 0.5000 0.5000  12 As 3.54
Cl 0.0000 0.0000 0.0000  6 As 2.50

Summary:
Symmetry: Pm-3m
Crystal system: cubic
Fermi-level density of states, states/eV/cell: 3.9
ρ, g/cm³: 6.2
Calculated volume, Å³ per cell: 125.6

Arrangement Q

# As3PbCl

A relaxed As3PbCl crystal (PBE, the Alexandria database).

a = 5.4622 Å, b = 5.4622 Å, c = 5.4622 Å
α = 90.00°, β = 90.00°, γ = 90.00°
With the nearest neighbours (Å) after each atom.
Atoms (fractional coordinates):
As 0.0000 0.0000 0.5000  2 Pb 2.73
As 0.0000 0.5000 0.0000  2 Pb 2.73
As 0.5000 0.0000 0.0000  2 Pb 2.73
Pb 0.0000 0.0000 0.0000  6 As 2.73
Cl 0.5000 0.5000 0.5000  12 As 3.86

Summary:
Symmetry: Pm-3m
Crystal system: cubic
Fermi-level density of states, states/eV/cell: 5.0
ρ, g/cm³: 4.8
Calculated volume, Å³ per cell: 163.0

Q: Which of them is the least stable? A: arrangement Q.

Arrangement P

# As2PbSeCl

A relaxed As2PbSeCl crystal (PBE, the Alexandria database).

a = 5.2977 Å, b = 5.2977 Å, c = 5.7188 Å
α = 90.00°, β = 90.00°, γ = 90.00°
With the nearest neighbours (Å) after each atom.
Atoms (fractional coordinates):
As 0.0000 0.5000 0.0000  2 Cl 2.65
As 0.5000 0.0000 0.0000  2 Cl 2.65
Pb 0.0000 0.0000 0.5000  4 Se 3.75, 8 As 3.90
Se 0.5000 0.5000 0.5000  2 Cl 2.86
Cl 0.5000 0.5000 0.0000  4 As 2.65, 2 Se 2.86

Summary:
Symmetry: P4/mmm
Crystal system: tetragonal
Fermi-level density of states, states/eV/cell: 5.6
ρ, g/cm³: 4.9
Calculated volume, Å³ per cell: 160.5

Arrangement Q

# As2PbSeCl

A relaxed As2PbSeCl crystal (PBE, the Alexandria database).

a = 5.6847 Å, b = 5.6847 Å, c = 5.4531 Å
α = 90.00°, β = 90.00°, γ = 90.00°
With the nearest neighbours (Å) after each atom.
Atoms (fractional coordinates):
As 0.0000 0.5000 0.0000  2 Pb 2.84
As 0.5000 0.0000 0.0000  2 Pb 2.84
Pb 0.0000 0.0000 0.0000  2 Se 2.73, 4 As 2.84
Se 0.0000 0.0000 0.5000  2 Pb 2.73
Cl 0.5000 0.5000 0.5000  8 As 3.94, 4 Se 4.02

Summary:
Symmetry: P4/mmm
Crystal system: tetragonal
Fermi-level density of states, states/eV/cell: 6.5
ρ, g/cm³: 4.4
Calculated volume, Å³ per cell: 176.2

Q: Which of them is the least stable? A: arrangement Q.

Arrangement P

# As3PdCl

A relaxed As3PdCl crystal (PBE, the Alexandria database).

a = 4.9495 Å, b = 4.9495 Å, c = 4.9495 Å
α = 90.00°, β = 90.00°, γ = 90.00°
With the nearest neighbours (Å) after each atom.
Atoms (fractional coordinates):
As 0.0000 0.0000 0.5000  2 Pd 2.47
As 0.0000 0.5000 0.0000  2 Pd 2.47
As 0.5000 0.0000 0.0000  2 Pd 2.47
Pd 0.0000 0.0000 0.0000  6 As 2.47
Cl 0.5000 0.5000 0.5000  12 As 3.50

Summary:
Symmetry: Pm-3m
Crystal system: cubic
Fermi-level density of states, states/eV/cell: 5.1
ρ, g/cm³: 5.0
Calculated volume, Å³ per cell: 121.2

Arrangement Q

# As3PdCl

A relaxed As3PdCl crystal (PBE, the Alexandria database).

a = 4.7967 Å, b = 4.7967 Å, c = 4.7967 Å
α = 90.00°, β = 90.00°, γ = 90.00°
With the nearest neighbours (Å) after each atom.
Atoms (fractional coordinates):
As 0.0000 0.0000 0.5000  2 Cl 2.40
As 0.0000 0.5000 0.0000  2 Cl 2.40
As 0.5000 0.0000 0.0000  2 Cl 2.40
Pd 0.5000 0.5000 0.5000  12 As 3.39
Cl 0.0000 0.0000 0.0000  6 As 2.40

Summary:
Symmetry: Pm-3m
Crystal system: cubic
Fermi-level density of states, states/eV/cell: 6.6
ρ, g/cm³: 5.5
Calculated volume, Å³ per cell: 110.4

Q: Which of them is the least stable? A: arrangement Q.

Arrangement P

# AsPdCl2

A relaxed AsPdCl2 crystal (PBE, the Alexandria database).

a = 8.5490 Å, b = 8.5490 Å, c = 8.5490 Å
α = 23.14°, β = 23.14°, γ = 23.14°
With the nearest neighbours (Å) after each atom.
Atoms (fractional coordinates):
As 0.0000 0.0000 0.0000  2 Cl 2.45
Pd 0.5000 0.5000 0.5000  6 Cl 2.62
Cl 0.0981 0.0981 0.0981  1 As 2.45, 3 Pd 2.62
Cl 0.9019 0.9019 0.9019  1 As 2.45, 3 Pd 2.62

Summary:
Symmetry: R-3m
Crystal system: trigonal
Fermi-level density of states, states/eV/cell: 2.6
ρ, g/cm³: 4.9
Calculated volume, Å³ per cell: 84.7

Arrangement Q

# AsPdCl2

A relaxed AsPdCl2 crystal (PBE, the Alexandria database).

a = 9.0321 Å, b = 9.0321 Å, c = 9.0321 Å
α = 20.54°, β = 20.54°, γ = 20.54°
With the nearest neighbours (Å) after each atom.
Atoms (fractional coordinates):
As 0.0000 0.0000 0.0000  6 Cl 2.82
Pd 0.5000 0.5000 0.5000  2 Cl 2.30
Cl 0.4133 0.4133 0.4133  1 Pd 2.30
Cl 0.5867 0.5867 0.5867  1 Pd 2.30

Summary:
Symmetry: R-3m
Crystal system: trigonal
Fermi-level density of states, states/eV/cell: 2.2
ρ, g/cm³: 5.3
Calculated volume, Å³ per cell: 79.4

Q: Which of them is the least stable? A: arrangement Q.

Arrangement P

# AsPdCl2

A relaxed AsPdCl2 crystal (PBE, the Alexandria database).

a = 4.7000 Å, b = 4.7000 Å, c = 4.7000 Å
α = 60.00°, β = 60.00°, γ = 60.00°
With the nearest neighbours (Å) after each atom.
Atoms (fractional coordinates):
As 0.0000 0.0000 0.0000  8 Cl 2.88
Pd 0.5000 0.5000 0.5000  8 Cl 2.88
Cl 0.2500 0.2500 0.2500  4 As 2.88, 4 Pd 2.88
Cl 0.7500 0.7500 0.7500  4 As 2.88, 4 Pd 2.88

Summary:
Symmetry: Fm-3m
Crystal system: cubic
Fermi-level density of states, states/eV/cell: 1.9
ρ, g/cm³: 5.7
Calculated volume, Å³ per cell: 73.4

Arrangement Q

# AsPdCl2

A relaxed AsPdCl2 crystal (PBE, the Alexandria database).

a = 8.9603 Å, b = 8.9603 Å, c = 8.9603 Å
α = 151.32°, β = 151.32°, γ = 41.01°
With the nearest neighbours (Å) after each atom.
Atoms (fractional coordinates):
As 0.0000 0.0000 0.0000  4 Cl 2.63
As 0.7500 0.2500 0.5000  4 Cl 2.63
Pd 0.2500 0.7500 0.5000  4 Cl 2.61
Pd 0.5000 0.5000 0.0000  4 Cl 2.61
Cl 0.1291 0.6250 0.0041  2 Pd 2.61, 2 As 2.63
Cl 0.3750 0.3791 0.5041  2 Pd 2.61, 2 As 2.63
Cl 0.6209 0.1250 0.9959  2 Pd 2.61, 2 As 2.63
Cl 0.8750 0.8709 0.4959  2 Pd 2.61, 2 As 2.63

Summary:
Symmetry: I-42d
Crystal system: tetragonal
Fermi-level density of states, states/eV/cell: 5.2
ρ, g/cm³: 5.1
Calculated volume, Å³ per cell: 165.4

Q: Which of them is the least stable? A: arrangement P.